[1]
Computed, not measured: crystalline InNi2BiPt at its relaxed geometry at the GGA-PBE level of DFT.

Output
Uncorrected energy   -3.5939 eV per atom
E_form   603 kJ/mol of formula units

Cell lengths 4.621, 5.612, 4.621 Å; angles 90.00, 90.00, 90.00 degrees
Last column: magnetic moment on the atom in μB.
Fractional coordinates of all 5 atoms:
Bi (0.000, 0.500, 0.000)  0.01
Ni (0.000, 0.000, 0.500)  0.16
Ni (0.500, 0.000, 0.000)  0.10
Pt (0.500, 0.500, 0.500)  0.03
In (0.000, 0.000, 0.000)  -0.01

***

[2]
Computed, not measured: crystalline Ba3MgAl at its relaxed geometry at the GGA-PBE level of DFT.

Output
Uncorrected energy   -1.9804 eV per atom
E_form   116 kJ/mol of formula units
Excess energy over the best structure of this formula in the dataset   0 meV per atom

Cell lengths 6.578, 6.578, 6.578 Å; angles 90.00, 90.00, 90.00 degrees
Last column: magnetic moment on the atom in μB.
Fractional coordinates of all 5 atoms:
Ba (0.000, 0.000, 0.500)  0.07
Ba (0.000, 0.500, 0.000)  0.09
Ba (0.500, 0.000, 0.000)  0.10
Al (0.000, 0.000, 0.000)  0.06
Mg (0.500, 0.500, 0.500)  0.01

***

[3]
Computed, not measured: crystalline Nd5Dy2Ru4 at its relaxed geometry at the GGA-PBE level of DFT.

Output
Uncorrected energy   -6.4763 eV per atom
E_form   -105 kJ/mol of formula units

Cell lengths 4.651, 5.121, 12.759 Å; angles 77.68, 100.50, 90.00 degrees
Fractional coordinates of all 11 atoms:
Nd (0.383, 0.755, 0.766)
Nd (0.617, 0.245, 0.234)
Nd (0.763, 0.234, 0.527)
Nd (0.237, 0.766, 0.473)
Nd (0.500, 0.000, 0.000)
Dy (0.901, 0.264, 0.802)
Dy (0.099, 0.736, 0.198)
Ru (0.961, 0.712, 0.921)
Ru (0.328, 0.295, 0.656)
Ru (0.039, 0.288, 0.079)
Ru (0.672, 0.705, 0.344)